VASP calculation (GGA-PBE) on an optimized crystal structure of BeCd2OsW.

```
data_BeCd2OsW
_symmetry_space_group_name_H-M 'P 4/m m m'
_symmetry_Int_Tables_number 123
_symmetry_space_group_name_Hall '-P 4 2'
_cell_length_a 5.328
_cell_length_b 5.328
_cell_length_c 4.652
_cell_angle_alpha 90.00
_cell_angle_beta 90.00
_cell_angle_gamma 90.00
loop_
_atom_site_label
_atom_site_type_symbol
_atom_site_fract_x
_atom_site_fract_y
_atom_site_fract_z
_atom_site_occupancy
Be1 Be 0.000 0.000 0.000 1
Cd1 Cd 0.000 0.500 0.500 1
Os1 Os 0.500 0.500 0.000 1
W1 W 0.500 0.500 0.500 1
```

Computed properties:
Calculated formation energy (eV/atom): 2.000
Total moment (μB/cell): 0.43